Computed, not measured: crystalline Th2Si6Os at its relaxed geometry at the PBE-GGA level of DFT.

Cell lengths 5.253, 5.904, 5.904 Å; angles 59.99, 90.00, 90.00 degrees
Atoms (fractional coordinates):
1 Si 0.321 0.360 0.820
2 Si 0.321 0.820 0.360
3 Si 0.679 0.640 0.180
4 Si 0.679 0.180 0.640
5 Si 0.679 0.180 0.180
6 Si 0.321 0.820 0.820
7 Th 0.177 0.333 0.333
8 Th 0.823 0.667 0.667
9 Os 0.000 0.000 0.000

* N(E_F): 2.60 states/eV/f.u.
* space-group type: P-3m1, No. 164
* ΔE_f (raw): -0.51 eV per atom